First-principles (PBE) data for crystalline MgMnAs4 at its relaxed geometry, as listed in the Alexandria database.

extended XYZ file:
```
6
Lattice="5.361 -1.441 0.211 1.422 -5.348 0.484 2.334 -2.652 -4.287" Properties=species:S:1:pos:R:3 pbc="T T T"
As 6.099 -4.261 -1.242
As 3.419 -3.541 -1.347
As 4.130 -6.214 -1.105
As 4.586 -4.867 -3.490
Mn 0.000 0.000 0.000
Mg 6.838 -7.081 -2.694
```

Values from the calculation:
Space-group type: F-43m
Energy of formation: 2.3 eV per formula unit

First-principles (PBE) data for crystalline Ta3H3Pd at its relaxed geometry, as listed in the Alexandria database.

extended XYZ file:
```
14
Lattice="-0.615 5.037 -1.803 -4.131 0.706 3.382 3.400 1.769 3.783" Properties=species:S:1:pos:R:3 pbc="T T T"
Ta -2.527 4.131 0.338
Ta -1.399 1.415 4.428
Ta 0.667 1.061 2.737
Ta -2.219 1.612 1.240
Ta 0.542 2.961 0.044
Ta 2.242 3.846 1.936
Pd -0.673 3.757 2.681
Pd 0.000 0.000 0.000
H -1.216 0.796 2.637
H 1.546 2.144 1.441
H -3.406 3.048 1.635
H -1.340 2.695 -0.056
H 0.484 1.680 4.528
H 1.239 4.663 0.539
```

Values from the calculation:
Space-group type: Pm-3n
E: -7.39 eV per atom

First-principles (PBE) data for crystalline LaSm3Er2Se6 at its relaxed geometry, as listed in the Alexandria database.

extended XYZ file:
```
12
Lattice="-5.161 4.321 2.548 3.214 -4.752 4.345 5.333 4.785 -0.699" Properties=species:S:1:pos:R:3 pbc="T T T"
Sm 1.693 2.177 3.097
Sm -1.165 5.273 2.484
Sm 4.551 -0.920 3.710
Se 2.274 -0.505 1.904
Se -0.636 2.648 1.279
Se 4.023 1.705 4.915
Se 1.112 4.858 4.290
Se -0.150 0.828 4.880
Se 3.537 3.525 1.314
Er 0.425 -1.730 3.747
Er -2.371 1.299 3.147
La 0.000 0.000 0.000
```

Values from the calculation:
Space-group type: C2/m
Formation energy without anion corrections: -1.81 eV per atom

First-principles (PBE) data for crystalline Tc2AgIr at its relaxed geometry, as listed in the Alexandria database.

extended XYZ file:
```
4
Lattice="-1.541 4.118 -0.541 -3.723 0.688 -2.301 -3.692 1.276 2.090" Properties=species:S:1:pos:R:3 pbc="T T T"
Ir -6.717 4.562 -0.565
Tc -2.239 1.521 -0.188
Tc 0.000 0.000 0.000
Ag -4.478 3.041 -0.377
```

Values from the calculation:
Space-group type: F-43m
Energy of formation: 2.2 eV per formula unit
Energy above the lowest structure with this stoichiometry: 409 meV/atom